# NaLa3Ir, relaxed, DFT GGA-PBE
# M_tot	0.00	μB/atom
# symmetry	R3m
# energy	-4.987	eV per atom
# energy above the lowest structure with this stoichiometry	330	meV per atom
data_NaLa3Ir
_space_group_name_H-M_alt 'P 1'
_space_group_IT_number 1
_space_group_name_Hall 'P 1'
_cell_length_a 5.5531
_cell_length_b 5.5531
_cell_length_c 5.5531
_cell_angle_alpha 83.64
_cell_angle_beta 83.64
_cell_angle_gamma 83.64
loop_
_atom_site_label
_atom_site_fract_x
_atom_site_fract_y
_atom_site_fract_z
_atom_site_occupancy
Na1 0.6751 0.6751 0.6751 1
Ir1 0.4176 0.4176 0.4176 1
La1 0.0975 0.5873 0.0975 1
La2 0.5873 0.0975 0.0975 1
La3 0.0975 0.0975 0.5873 1